First-principles (PBE) data for an optimized crystal structure of BC, as listed in Alexandria.

a = 4.5548 Å, b = 4.5548 Å, c = 8.4251 Å
α = 118.08°, β = 118.08°, γ = 31.51°
Closest atoms and distances in Å follow each position.
Element x y z (fractional)
1 B 0.0000 0.0000 0.0000  1 C 1.62, 3 B 1.78-1.80
2 B 0.1668 0.1668 0.7026  4 C 1.65-1.66
3 B 0.1998 0.1998 0.2154  1 C 1.60
4 B 0.4656 0.4656 0.3728  3 C 1.65-1.72, 1 B 1.84
5 B 0.5018 0.5018 0.8497  2 C 1.59-1.60, 2 B 1.78
6 B 0.6604 0.6604 0.3444  1 C 1.64, 3 B 1.79-1.84
7 C 0.3291 0.3291 0.6545  2 C 1.50, 2 B 1.60-1.66
8 C 0.3352 0.3352 0.1403  2 C 1.51, 1 B 1.60
9 C 0.6786 0.6786 0.8401  1 C 1.56, 3 B 1.59-1.66
10 C 0.8269 0.8269 0.5524  3 C 1.50-1.56, 1 B 1.64
11 C 0.8357 0.8357 0.0373  3 C 1.51-1.56, 1 B 1.62
12 C 0.9807 0.9807 0.5085  1 C 1.56, 3 B 1.65

Calculated values
- E above lowest polymorph (meV per atom) = 287.3
- total moment (μB per atom) = 0.0000

***

First-principles (PBE) data for an optimized crystal structure of B7C5, as listed in Alexandria.

a = 3.8790 Å, b = 5.0882 Å, c = 5.3731 Å
α = 107.60°, β = 96.90°, γ = 111.12°
Closest atoms and distances in Å follow each position.
Element x y z (fractional)
1 B 0.0000 0.0000 0.0000  2 C 1.55-1.60, 1 B 1.71
2 B 0.0012 0.9967 0.4961  2 C 1.57-1.62, 1 B 1.74
3 B 0.1352 0.7154 0.0048  2 C 1.57-1.64, 1 B 1.71
4 B 0.1636 0.7140 0.3955  2 B 1.69-1.74, 2 C 1.75-1.84
5 B 0.5528 0.7684 0.6180  1 C 1.61, 2 B 1.69-1.71
6 B 0.6847 0.4803 0.6076  2 C 1.53-1.58, 1 B 1.71
7 B 0.6863 0.4992 0.1183  3 C 1.56-1.64
8 C 0.5084 0.7518 0.1878  2 B 1.57-1.64, 1 C 1.64
9 C 0.7805 0.3647 0.3283  1 C 1.48, 2 B 1.56-1.58
10 C 0.7929 0.3762 0.8333  1 C 1.49, 3 B 1.53-1.64
11 C 0.8535 0.0886 0.2650  2 C 1.48-1.64, 2 B 1.57-1.60
12 C 0.8845 0.1077 0.7764  1 C 1.49, 3 B 1.55-1.62

Calculated values
- E above lowest polymorph (meV per atom) = 280.3
- total moment (μB per atom) = 0.0000

***

First-principles (PBE) data for an optimized crystal structure of BC, as listed in Alexandria.

a = 11.4527 Å, b = 11.4527 Å, c = 11.4527 Å
α = 13.07°, β = 13.07°, γ = 13.07°
Closest atoms and distances in Å follow each position.
Element x y z (fractional)
1 B 0.0000 0.0000 0.0000  4 B 1.76-1.80
2 B 0.0529 0.0529 0.0529  3 C 1.54
3 B 0.4423 0.4423 0.4423  1 C 1.59
4 B 0.6400 0.6400 0.6400  1 C 1.61, 3 B 1.76
5 B 0.8039 0.8039 0.8039  1 C 1.59
6 C 0.1989 0.1989 0.1989  4 C 1.56-1.59
7 C 0.2447 0.2447 0.2447  4 C 1.56-1.59
8 C 0.3956 0.3956 0.3956  4 B 1.54-1.59
9 C 0.5928 0.5928 0.5928  3 C 1.59, 1 B 1.61
10 C 0.8507 0.8507 0.8507  3 C 1.59, 1 B 1.59

Calculated values
- E above lowest polymorph (meV per atom) = 306.5
- total moment (μB per atom) = 0.0000

***

First-principles (PBE) data for an optimized crystal structure of BC, as listed in Alexandria.

a = 4.8756 Å, b = 2.5685 Å, c = 6.5400 Å
α = 90.00°, β = 98.69°, γ = 90.00°
Closest atoms and distances in Å follow each position.
Element x y z (fractional)
1 B 0.0000 0.0000 0.0000  2 C 1.67, 1 B 1.73
2 B 0.0214 0.0000 0.7108  3 C 1.66-1.68
3 B 0.2795 0.0000 0.2874  2 C 1.65, 1 B 1.80
4 B 0.3577 0.0000 0.0277  2 C 1.61, 2 B 1.73-1.80
5 B 0.5050 0.5000 0.7168  4 C 1.60-1.68
6 B 0.6812 0.0000 0.3877  3 C 1.59-1.66
7 C 0.1403 0.5000 0.3929  2 C 1.46-1.52
8 C 0.1823 0.5000 0.6190  1 C 1.46, 1 B 1.61
9 C 0.5257 0.5000 0.9630  1 C 1.46, 3 B 1.60-1.61
10 C 0.6766 0.0000 0.6297  4 B 1.59-1.68
11 C 0.8139 0.5000 0.0655  2 C 1.46-1.49
12 C 0.8378 0.5000 0.2948  2 C 1.49-1.52, 2 B 1.66

Calculated values
- E above lowest polymorph (meV per atom) = 223.6
- total moment (μB per atom) = 0.0000

***

| no. | formation energy (meV/atom) |
| --- | --- |
| 1 | 438.1 |
| 2 | 444.7 |
| 3 | 457.3 |
| 4 | 374.4 |